Entry 1:
A plane-wave DFT calculation with GGA-PBE was carried out for an optimized crystal structure of Th2MgAl3Ag4.

```
Th2MgAl3Ag4
1.0
4.4565 0.0000 0.0000
0.0000 4.4565 0.0000
0.0000 0.0000 10.7370
Ag Th Al Mg
4 2 3 1
Direct
0.0000 0.5000 0.3652
0.0000 0.0000 0.0000
0.5000 0.5000 0.0000
0.5000 0.0000 0.6348
0.5000 0.0000 0.2400
0.0000 0.5000 0.7600
0.0000 0.0000 0.5000
0.5000 0.0000 0.8668
0.0000 0.5000 0.1332
0.5000 0.5000 0.5000
```

Output
For the total energy, the calculation gives -41.5 eV/cell. For the density, the calculation gives 7.79 g cm⁻³. For the formation enthalpy at 0 K, the calculation gives -240 meV per atom. The space group is P-4m2.



Entry 2:
A plane-wave DFT calculation with GGA-PBE was carried out for an optimized crystal structure of Th2MgAl4Ag3.

```
Th2MgAl4Ag3
1.0
-3.9654 1.2732 1.2875
-1.6496 -1.2618 -3.8327
-1.9122 -10.1755 4.1728
Al Mg Ag Th
4 1 3 2
Direct
0.5000 0.0000 0.6466
0.0000 0.5000 0.3534
0.0000 0.0000 0.0000
0.5000 0.5000 0.0000
0.5000 0.5000 0.5000
0.0000 0.5000 0.1282
0.0000 0.0000 0.5000
0.5000 0.0000 0.8718
0.0000 0.5000 0.7566
0.5000 0.0000 0.2434
```

Output
For the total energy, the calculation gives -42.7 eV/cell. For the density, the calculation gives 7.20 g cm⁻³. For the formation enthalpy at 0 K, the calculation gives -274 meV per atom. The space group is P-4m2.